1.
The following is a DFT calculation (PBEsol) of a geometry-optimized YAgPt2 structure.

Values from the calculation:
spin magnetization: 0.00 μB/cell
energy: -27.27 eV per cell

extended XYZ file:
```
4
Lattice="-1.6046 0.6786 -3.5761 -3.7701 -0.9363 1.5140 -0.5835 4.0000 1.0208" Properties=species:S:1:pos:R:3 pbc="T T T"
Pt -0.2917 2.0000 0.5104
Pt -1.8850 -0.4682 0.7570
Y -2.9791 1.8711 -0.5206
Ag -0.8023 0.3393 -1.7880
```


2.
The following is a DFT calculation (PBEsol) of a geometry-optimized Ti2Be2Re structure.

Values from the calculation:
spin magnetization: 0.00 μB/cell
energy: -78.23 eV per cell

extended XYZ file:
```
10
Lattice="3.2048 0.0000 0.0000 0.0000 6.2290 0.0000 0.0000 0.0000 6.2290" Properties=species:S:1:pos:R:3 pbc="T T T"
Re 0.0000 0.0000 0.0000
Re 0.0000 3.1145 3.1145
Be 0.0000 3.8461 0.7316
Be 0.0000 5.4975 3.8461
Be 0.0000 0.7316 2.3830
Be 0.0000 2.3830 5.4975
Ti 1.6024 4.2575 5.0860
Ti 1.6024 5.0860 1.9715
Ti 1.6024 1.1430 4.2575
Ti 1.6024 1.9715 1.1430
```


3.
The following is a DFT calculation (PBEsol) of a geometry-optimized YCr2Ag structure.

Values from the calculation:
spin magnetization: 0.00 μB/cell
energy: -27.91 eV per cell
E above lowest polymorph: 0.2764 eV per atom

extended XYZ file:
```
4
Lattice="3.3477 0.0000 0.0980 0.0000 4.7884 0.0000 -0.1347 0.0000 4.7035" Properties=species:S:1:pos:R:3 pbc="T T T"
Cr 3.3192 0.0000 1.0225
Cr -0.1062 0.0000 3.7790
Y 1.6739 2.3942 0.0490
Ag -0.0673 2.3942 2.3517
```


4.
The following is a DFT calculation (PBEsol) of a geometry-optimized YBe2Zn structure.

Values from the calculation:
spin magnetization: 0.00 μB/cell
energy: -16.17 eV per cell

extended XYZ file:
```
4
Lattice="-3.9668 0.1639 1.8132 -2.1453 -3.7129 0.8953 -0.5482 -1.2389 4.1658" Properties=species:S:1:pos:R:3 pbc="T T T"
Be -2.6954 -4.9440 5.0562
Be -4.9912 -3.6072 5.1661
Zn -1.6677 -1.1863 1.7118
Y -3.3296 -2.3962 3.4386
```


5.
The following is a DFT calculation (PBEsol) of a geometry-optimized ScCd structure.

Values from the calculation:
spin magnetization: 0.00 μB/cell
energy: -99.27 eV per cell

extended XYZ file:
```
24
Lattice="-4.8851 -1.2150 3.3284 4.8827 -4.2942 5.5988 1.4373 8.3666 5.1636" Properties=species:S:1:pos:R:3 pbc="T T T"
Sc 1.0756 -3.8905 8.3648
Sc 4.2053 -0.0585 6.1507
Sc -0.2021 2.1954 3.2403
Sc 2.6631 2.5152 7.5622
Sc -1.2281 0.3422 6.5287
Sc 1.6370 0.6620 10.8506
Sc -0.3278 3.5234 6.2759
Sc -0.2833 4.5574 9.4541
Sc 0.3593 6.7479 5.7260
Sc 2.1148 4.1309 4.6117
Sc 1.7183 -1.7000 4.6367
Sc 1.7627 -0.6660 7.8149
Cd 2.5008 3.6301 10.4663
Cd -1.9223 5.9255 7.5479
Cd 4.2240 0.7181 9.1971
Cd -1.0658 -0.7727 3.6245
Cd -0.5415 -2.3948 6.5373
Cd 1.3767 -0.1652 1.9603
Cd 1.4855 1.1355 5.3302
Cd 4.9433 4.2376 8.8021
Cd 3.3573 -3.0681 6.5429
Cd -2.7891 2.1393 4.8937
Cd -0.0505 1.7218 8.7606
Cd 1.9765 5.2522 7.5535
```


6.
The following is a DFT calculation (PBEsol) of a geometry-optimized TcPBr structure.

Values from the calculation:
energy relative to the elements, uncorrected: 0.29 eV/atom
spin magnetization: 0.00 μB/cell
energy: -18.05 eV per cell

extended XYZ file:
```
3
Lattice="-3.0279 -2.2501 1.7955 0.9626 -3.4199 2.1983 -0.4189 0.0021 4.1568" Properties=species:S:1:pos:R:3 pbc="T T T"
P -1.2421 -2.8339 4.0753
Tc -0.6211 -1.4170 2.0377
Br 0.0000 0.0000 0.0000
```